First-principles (PBE) data for Ac2SbH after structural relaxation, as listed in the Alexandria database.

Summary:
Polymorph energy (0 for the lowest one), eV per atom: 0.179

CIF file:
```
data_Ac2SbH
_chemical_formula_sum 'Ac8 Sb4 H4'
_space_group_name_H-M_alt 'F m -3 m'
_space_group_IT_number 225
_space_group_name_Hall '-F 4 2 3'
_cell_length_a 7.797
_cell_length_b 7.797
_cell_length_c 7.797
_cell_angle_alpha 90.00
_cell_angle_beta 90.00
_cell_angle_gamma 90.00
loop_
_atom_site_label
_atom_site_fract_x
_atom_site_fract_y
_atom_site_fract_z
Ac1 0.250 0.250 0.250
Sb1 0.000 0.000 0.000
H1 0.000 0.000 0.500
```

First-principles (PBE) data for La4Si2Sn5 after structural relaxation, as listed in the Alexandria database.

Summary:
VASP energy, eV per atom: -5.29

CIF file:
```
data_La4Si2Sn5
_chemical_formula_sum 'La4 Si2 Sn5'
_space_group_name_H-M_alt 'P 1 2/m 1'
_space_group_IT_number 10
_space_group_name_Hall '-P 2y'
_cell_length_a 7.574
_cell_length_b 4.524
_cell_length_c 8.999
_cell_angle_alpha 90.00
_cell_angle_beta 93.56
_cell_angle_gamma 90.00
loop_
_atom_site_label
_atom_site_fract_x
_atom_site_fract_y
_atom_site_fract_z
La1 0.218 0.000 0.359
La2 0.234 0.000 0.902
Si1 0.081 0.500 0.119
Sn1 0.133 0.500 0.633
Sn2 0.444 0.500 0.158
Sn3 0.500 0.500 0.500
```